(1)
Density functional theory data (GGA-PBEsol) for crystalline SrLa2Pb at its relaxed geometry.

Output
volume = 131 Å³/cell
formation energy from the elements = -0.29 eV/f.u.
energy = -16.82 eV/cell

Structure (CIF):
```
data_SrLa2Pb
_space_group_name_H-M_alt 'P 1'
_space_group_IT_number 1
_cell_length_a 5.704
_cell_length_b 5.704
_cell_length_c 5.704
_cell_angle_alpha 60.00
_cell_angle_beta 60.00
_cell_angle_gamma 60.00
loop_
_space_group_symop_operation_xyz
'x,y,z'
loop_
_atom_site_label
_atom_site_fract_x
_atom_site_fract_y
_atom_site_fract_z
_atom_site_occupancy
Sr1 0.000 0.000 0.000 1
La1 0.500 0.500 0.500 1
La2 0.750 0.750 0.750 1
Pb1 0.250 0.250 0.250 1
```



(2)
Density functional theory data (GGA-PBEsol) for crystalline AlNiRh2 at its relaxed geometry.

Output
volume = 51 Å³/cell
formation energy from the elements = -1.69 eV/f.u.
energy = -28.22 eV/cell

Structure (CIF):
```
data_AlNiRh2
_space_group_name_H-M_alt 'P 1'
_space_group_IT_number 1
_cell_length_a 4.590
_cell_length_b 4.590
_cell_length_c 4.350
_cell_angle_alpha 103.35
_cell_angle_beta 103.35
_cell_angle_gamma 34.81
loop_
_space_group_symop_operation_xyz
'x,y,z'
loop_
_atom_site_label
_atom_site_fract_x
_atom_site_fract_y
_atom_site_fract_z
_atom_site_occupancy
Al1 0.000 0.000 0.000 1
Ni1 0.259 0.259 0.738 1
Rh1 0.508 0.508 0.514 1
Rh2 0.749 0.749 0.237 1
```



(3)
Density functional theory data (GGA-PBEsol) for crystalline DyTmCu2 at its relaxed geometry.

Output
volume = 77 Å³/cell
formation energy from the elements = -1.02 eV/f.u.
energy = -19.56 eV/cell

Structure (CIF):
```
data_DyTmCu2
_space_group_name_H-M_alt 'P 1'
_space_group_IT_number 1
_cell_length_a 4.780
_cell_length_b 4.780
_cell_length_c 4.780
_cell_angle_alpha 60.00
_cell_angle_beta 60.00
_cell_angle_gamma 60.00
loop_
_space_group_symop_operation_xyz
'x,y,z'
loop_
_atom_site_label
_atom_site_fract_x
_atom_site_fract_y
_atom_site_fract_z
_atom_site_occupancy
Dy1 0.000 0.000 0.000 1
Tm1 0.500 0.500 0.500 1
Cu1 0.250 0.250 0.250 1
Cu2 0.750 0.750 0.750 1
```



(4)
Density functional theory data (GGA-PBEsol) for crystalline ScRe2 at its relaxed geometry.

Output
volume = 49 Å³/cell
formation energy from the elements = 0.72 eV/f.u.
energy = -32.55 eV/cell

Structure (CIF):
```
data_ScRe2
_space_group_name_H-M_alt 'P 1'
_space_group_IT_number 1
_cell_length_a 4.616
_cell_length_b 4.616
_cell_length_c 2.629
_cell_angle_alpha 90.00
_cell_angle_beta 90.00
_cell_angle_gamma 120.00
loop_
_space_group_symop_operation_xyz
'x,y,z'
loop_
_atom_site_label
_atom_site_fract_x
_atom_site_fract_y
_atom_site_fract_z
_atom_site_occupancy
Sc1 0.000 0.000 0.000 1
Re1 0.333 0.667 0.500 1
Re2 0.667 0.333 0.500 1
```



(5)
Density functional theory data (GGA-PBEsol) for crystalline Ta2OsW at its relaxed geometry.

Output
energy above the lowest structure with this stoichiometry = 0.000 eV per atom
volume = 64 Å³/cell
formation energy from the elements = -1.16 eV/f.u.
energy = -52.29 eV/cell

Structure (CIF):
```
data_Ta2OsW
_space_group_name_H-M_alt 'P 1'
_space_group_IT_number 1
_cell_length_a 4.494
_cell_length_b 4.494
_cell_length_c 4.494
_cell_angle_alpha 60.00
_cell_angle_beta 60.00
_cell_angle_gamma 60.00
loop_
_space_group_symop_operation_xyz
'x,y,z'
loop_
_atom_site_label
_atom_site_fract_x
_atom_site_fract_y
_atom_site_fract_z
_atom_site_occupancy
Ta1 0.250 0.250 0.250 1
Ta2 0.750 0.750 0.750 1
Os1 0.000 0.000 0.000 1
W1 0.500 0.500 0.500 1
```



(6)
Density functional theory data (GGA-PBEsol) for crystalline SrWIN2 at its relaxed geometry.

Output
volume = 142 Å³/cell
energy = -22.36 eV/cell
formation energy from raw total energies = 2422 meV per atom

Structure (CIF):
```
data_SrWIN2
_space_group_name_H-M_alt 'P 1'
_space_group_IT_number 1
_cell_length_a 4.600
_cell_length_b 4.600
_cell_length_c 6.694
_cell_angle_alpha 90.00
_cell_angle_beta 90.00
_cell_angle_gamma 90.00
loop_
_space_group_symop_operation_xyz
'x,y,z'
loop_
_atom_site_label
_atom_site_fract_x
_atom_site_fract_y
_atom_site_fract_z
_atom_site_occupancy
Sr1 0.000 0.000 0.000 1
W1 0.500 0.500 0.500 1
I1 0.000 0.000 0.500 1
N1 0.000 0.500 0.000 1
N2 0.500 0.000 0.000 1
```



(7)
Density functional theory data (GGA-PBEsol) for crystalline TaNb2InBi at its relaxed geometry.

Output
volume = 131 Å³/cell
formation energy from the elements = 10.71 eV/f.u.
energy = -30.75 eV/cell

Structure (CIF):
```
data_TaNb2InBi
_space_group_name_H-M_alt 'P 1'
_space_group_IT_number 1
_cell_length_a 4.999
_cell_length_b 4.999
_cell_length_c 5.248
_cell_angle_alpha 90.00
_cell_angle_beta 90.00
_cell_angle_gamma 90.00
loop_
_space_group_symop_operation_xyz
'x,y,z'
loop_
_atom_site_label
_atom_site_fract_x
_atom_site_fract_y
_atom_site_fract_z
_atom_site_occupancy
Ta1 0.000 0.000 0.000 1
Nb1 0.000 0.500 0.500 1
Nb2 0.500 0.000 0.500 1
In1 0.500 0.500 0.500 1
Bi1 0.500 0.500 0.000 1
```



(8)
Density functional theory data (GGA-PBEsol) for crystalline HfP2 at its relaxed geometry.

Output
volume = 190 Å³/cell
formation energy from the elements = -3.05 eV/f.u.
energy = -100.55 eV/cell

Structure (CIF):
```
data_HfP2
_space_group_name_H-M_alt 'P 1'
_space_group_IT_number 1
_cell_length_a 6.391
_cell_length_b 3.459
_cell_length_c 8.603
_cell_angle_alpha 90.00
_cell_angle_beta 90.00
_cell_angle_gamma 90.00
loop_
_space_group_symop_operation_xyz
'x,y,z'
loop_
_atom_site_label
_atom_site_fract_x
_atom_site_fract_y
_atom_site_fract_z
_atom_site_occupancy
Hf1 0.224 0.250 0.165 1
Hf2 0.276 0.750 0.665 1
Hf3 0.724 0.250 0.335 1
Hf4 0.776 0.750 0.835 1
P1 0.092 0.250 0.859 1
P2 0.113 0.250 0.460 1
P3 0.387 0.750 0.960 1
P4 0.408 0.750 0.359 1
P5 0.592 0.250 0.641 1
P6 0.613 0.250 0.040 1
P7 0.887 0.750 0.540 1
P8 0.908 0.750 0.141 1
```



(9)
Density functional theory data (GGA-PBEsol) for crystalline Mg2NF at its relaxed geometry.

Output
volume = 88 Å³/cell
energy = -42.74 eV/cell
formation energy from raw total energies = -1870 meV per atom

Structure (CIF):
```
data_Mg2NF
_space_group_name_H-M_alt 'P 1'
_space_group_IT_number 1
_cell_length_a 5.817
_cell_length_b 5.817
_cell_length_c 5.817
_cell_angle_alpha 137.77
_cell_angle_beta 137.77
_cell_angle_gamma 61.25
loop_
_space_group_symop_operation_xyz
'x,y,z'
loop_
_atom_site_label
_atom_site_fract_x
_atom_site_fract_y
_atom_site_fract_z
_atom_site_occupancy
Mg1 0.089 0.339 0.750 1
Mg2 0.339 0.089 0.250 1
Mg3 0.661 0.911 0.750 1
Mg4 0.911 0.661 0.250 1
N1 0.125 0.875 0.250 1
N2 0.875 0.125 0.750 1
F1 0.375 0.625 0.750 1
F2 0.625 0.375 0.250 1
```



(10)
Density functional theory data (GGA-PBEsol) for crystalline BaCa2Al at its relaxed geometry.

Output
volume = 144 Å³/cell
formation energy from the elements = -0.23 eV/f.u.
energy = -10.74 eV/cell

Structure (CIF):
```
data_BaCa2Al
_space_group_name_H-M_alt 'P 1'
_space_group_IT_number 1
_cell_length_a 3.758
_cell_length_b 3.758
_cell_length_c 10.199
_cell_angle_alpha 90.00
_cell_angle_beta 90.00
_cell_angle_gamma 90.00
loop_
_space_group_symop_operation_xyz
'x,y,z'
loop_
_atom_site_label
_atom_site_fract_x
_atom_site_fract_y
_atom_site_fract_z
_atom_site_occupancy
Ba1 0.000 0.000 0.000 1
Ca1 0.500 0.500 0.322 1
Ca2 0.500 0.500 0.678 1
Al1 0.000 0.000 0.500 1
```



(11)
Density functional theory data (GGA-PBEsol) for crystalline CaNi2SnI at its relaxed geometry.

Output
volume = 122 Å³/cell
energy = -18.13 eV/cell
formation energy from raw total energies = 469 meV per atom

Structure (CIF):
```
data_CaNi2SnI
_space_group_name_H-M_alt 'P 1'
_space_group_IT_number 1
_cell_length_a 4.654
_cell_length_b 4.654
_cell_length_c 5.610
_cell_angle_alpha 90.00
_cell_angle_beta 90.00
_cell_angle_gamma 90.00
loop_
_space_group_symop_operation_xyz
'x,y,z'
loop_
_atom_site_label
_atom_site_fract_x
_atom_site_fract_y
_atom_site_fract_z
_atom_site_occupancy
Ca1 0.000 0.000 0.000 1
Ni1 0.000 0.500 0.500 1
Ni2 0.500 0.000 0.500 1
Sn1 0.500 0.500 0.000 1
I1 0.000 0.000 0.500 1
```



(12)
Density functional theory data (GGA-PBEsol) for crystalline ScPdI2O at its relaxed geometry.

Output
volume = 116 Å³/cell
energy = -22.49 eV/cell
formation energy from raw total energies = -229 meV per atom

Structure (CIF):
```
data_ScPdI2O
_space_group_name_H-M_alt 'P 1'
_space_group_IT_number 1
_cell_length_a 5.497
_cell_length_b 5.497
_cell_length_c 3.830
_cell_angle_alpha 90.00
_cell_angle_beta 90.00
_cell_angle_gamma 90.00
loop_
_space_group_symop_operation_xyz
'x,y,z'
loop_
_atom_site_label
_atom_site_fract_x
_atom_site_fract_y
_atom_site_fract_z
_atom_site_occupancy
Sc1 0.000 0.000 0.000 1
Pd1 0.500 0.500 0.500 1
I1 0.000 0.500 0.500 1
I2 0.500 0.000 0.500 1
O1 0.500 0.500 0.000 1
```



(13)
Density functional theory data (GGA-PBEsol) for crystalline TlTeBr2 at its relaxed geometry.

Output
energy above the lowest structure with this stoichiometry = 0.000 eV per atom
volume = 125 Å³/cell
energy = -10.83 eV/cell
formation energy from raw total energies = -233 meV per atom

Structure (CIF):
```
data_TlTeBr2
_space_group_name_H-M_alt 'P 1'
_space_group_IT_number 1
_cell_length_a 7.811
_cell_length_b 7.811
_cell_length_c 7.811
_cell_angle_alpha 151.37
_cell_angle_beta 146.65
_cell_angle_gamma 44.52
loop_
_space_group_symop_operation_xyz
'x,y,z'
loop_
_atom_site_label
_atom_site_fract_x
_atom_site_fract_y
_atom_site_fract_z
_atom_site_occupancy
Tl1 0.000 0.000 0.000 1
Te1 0.808 0.308 0.500 1
Br1 0.296 0.796 0.500 1
Br2 0.569 0.569 0.000 1
```



(14)
Density functional theory data (GGA-PBEsol) for crystalline Mg2ScCd at its relaxed geometry.

Output
volume = 88 Å³/cell
formation energy from the elements = -0.29 eV/f.u.
energy = -11.52 eV/cell

Structure (CIF):
```
data_Mg2ScCd
_space_group_name_H-M_alt 'P 1'
_space_group_IT_number 1
_cell_length_a 5.385
_cell_length_b 5.385
_cell_length_c 5.519
_cell_angle_alpha 101.47
_cell_angle_beta 101.47
_cell_angle_gamma 34.08
loop_
_space_group_symop_operation_xyz
'x,y,z'
loop_
_atom_site_label
_atom_site_fract_x
_atom_site_fract_y
_atom_site_fract_z
_atom_site_occupancy
Mg1 0.000 0.000 0.000 1
Mg2 0.246 0.246 0.770 1
Sc1 0.760 0.760 0.277 1
Cd1 0.508 0.508 0.504 1
```